Entry 1:
This record from Alexandria describes a relaxed structure of Tl12Bi3Br5. The functional is PBE-GGA.

Properties
Final energy ... -2.69 eV per atom
Magnetization ... 0.000 μB/atom
E_form (uncorrected) ... -0.270 eV/atom

a b c (Å): 19.192 19.192 19.192
angles (deg): 90.00 90.00 90.00
Space group Ia-3d (No. 230)
Symmetry-distinct sites (fractional):
Tl 0.010 0.068 0.656 (multiplicity 96)
Bi 0.000 0.250 0.125 (multiplicity 24)
Br 0.000 0.000 0.000 (multiplicity 16)
Br 0.000 0.250 0.375 (multiplicity 24)

---

Entry 2:
This record from Alexandria describes a relaxed structure of Dy3ScAs4. The functional is PBE-GGA.

Properties
Final energy ... -6.31 eV per atom
DFT formation energy ... -1472 meV per atom
Magnetization ... 0.000 μB/atom
Relative energy among the computed polymorphs ... 0.008 eV/atom

a b c (Å): 5.750 5.750 5.750
angles (deg): 90.00 90.00 90.00
Space group Pm-3m (No. 221)
Symmetry-distinct sites (fractional):
Dy 0.000 0.000 0.500 (multiplicity 3)
Sc 0.500 0.500 0.500 (multiplicity 1)
As 0.000 0.000 0.000 (multiplicity 1)
As 0.000 0.500 0.500 (multiplicity 3)

---

Entry 3:
This record from Alexandria describes a relaxed structure of KFe2Os. The functional is PBE-GGA.

Properties
Final energy ... -6.24 eV per atom
DFT formation energy ... 1074 meV per atom
Magnetization ... 1.470 μB/atom
Relative energy among the computed polymorphs ... 0.372 eV/atom

a b c (Å): 2.616 5.119 10.203
angles (deg): 90.00 90.00 90.00
Space group Imm2 (No. 44)
Symmetry-distinct sites (fractional):
K 0.000 0.000 0.000 (multiplicity 2)
Fe 0.000 0.000 0.493 (multiplicity 2)
Fe 0.000 0.500 0.787 (multiplicity 2)
Os 0.000 0.500 0.207 (multiplicity 2)

---

Entry 4:
This record from Alexandria describes a relaxed structure of SiOsSe2. The functional is PBE-GGA.

Properties
Final energy ... -5.42 eV per atom
Magnetization ... 0.000 μB/atom
E_form (uncorrected) ... 0.490 eV/atom

a b c (Å): 3.008 5.244 9.471
angles (deg): 90.00 90.00 90.00
Space group Cmm2 (No. 35)
Symmetry-distinct sites (fractional):
Si 0.000 0.000 0.000 (multiplicity 2)
Os 0.000 0.500 0.799 (multiplicity 2)
Se 0.000 0.000 0.584 (multiplicity 2)
Se 0.000 0.500 0.216 (multiplicity 2)

---

> final energy of number 4 (SiOsSe2)?

-5.42 eV per atom

---

> Which value of final energy does entry 2 give?

-6.31 eV per atom